No. 1
A plane-wave DFT calculation with GGA-PBE was carried out for a relaxed structure of Be2CrTe.

Its density of states at the Fermi level is 0.567 states/eV per atom. Its total moment is 2.63 μB/f.u. Its energy relative to the elements, uncorrected is 1.84 eV per formula unit.

The structure belongs to space group Pm (No. 6); the cell edges are 2.925, 3.774 and 5.849 Å and the angles 90.00°, 104.42° and 90.00°. Symmetry generates all atoms from Be at (0.000, 0.000, 0.000), Be at (0.090, 0.500, 0.182), Cr at (0.658, 0.000, 0.317) and Te at (0.837, 0.500, 0.669).

***

No. 2
A plane-wave DFT calculation with GGA-PBE was carried out for a relaxed structure of Ta2IrBr.

Its density of states at the Fermi level is 0.709 states/eV per atom. Its total moment is 0.00 μB/f.u. Its energy relative to the elements, uncorrected is 0.90 eV per formula unit. The excess energy over the best structure of this formula in the dataset is 185 meV/atom.

The structure belongs to space group P1 (No. 1); the cell edges are 2.993, 4.866 and 5.187 Å and the angles 75.70°, 73.36° and 89.82°. Symmetry generates all atoms from Ta at (0.000, 0.000, 0.000), Ta at (0.263, 0.623, 0.474), Ir at (0.734, 0.109, 0.535) and Br at (0.493, 0.462, 0.004).

***

No. 3
A plane-wave DFT calculation with GGA-PBE was carried out for a relaxed structure of GdHoPuSc.

Its density of states at the Fermi level is 2.481 states/eV per atom. Its total moment is 13.63 μB/f.u. The calculation puts the energy relative to the elements at 0.18 eV/atom.

The structure belongs to space group F-43m (No. 216); the cell edges are 7.722, 7.722 and 7.722 Å and the angles 90.00°, 90.00° and 90.00°. Symmetry generates all atoms from Gd at (0.000, 0.000, 0.000), Ho at (0.250, 0.250, 0.750), Pu at (0.000, 0.000, 0.500) and Sc at (0.250, 0.250, 0.250).